# 1
This record from the Alexandria database describes crystalline VAsN2F at its relaxed geometry. The functional is PBE with a Hubbard U.

Values from the calculation:
- total DFT energy (no corrections) (eV/f.u.) = -27.56
- offset from the most stable computed form (meV per atom) = 352

Geometry as CIF:
```
data_VAsN2F
_chemical_formula_sum 'V1 As1 N2 F1'
_cell_length_a 3.836
_cell_length_b 3.836
_cell_length_c 3.926
_cell_angle_alpha 90.00
_cell_angle_beta 90.00
_cell_angle_gamma 90.00
_symmetry_space_group_name_H-M 'P 1'
_symmetry_Int_Tables_number 1
loop_
_symmetry_equiv_pos_as_xyz
'x,y,z'
loop_
_atom_site_label
_atom_site_type_symbol
_atom_site_fract_x
_atom_site_fract_y
_atom_site_fract_z
V1 V 0.000 0.000 0.000
As1 As 0.500 0.500 0.500
N1 N 0.000 0.500 0.500
N2 N 0.500 0.000 0.500
F1 F 0.500 0.500 0.000
```

***

# 2
This record from the Alexandria database describes crystalline VAsN2F at its relaxed geometry. The functional is PBE with a Hubbard U.

Values from the calculation:
- total DFT energy (no corrections) (eV/f.u.) = -29.32
- offset from the most stable computed form (meV per atom) = 0

Geometry as CIF:
```
data_VAsN2F
_chemical_formula_sum 'V1 As1 N2 F1'
_cell_length_a 3.922
_cell_length_b 3.922
_cell_length_c 3.777
_cell_angle_alpha 90.00
_cell_angle_beta 90.00
_cell_angle_gamma 90.00
_symmetry_space_group_name_H-M 'P 1'
_symmetry_Int_Tables_number 1
loop_
_symmetry_equiv_pos_as_xyz
'x,y,z'
loop_
_atom_site_label
_atom_site_type_symbol
_atom_site_fract_x
_atom_site_fract_y
_atom_site_fract_z
V1 V 0.000 0.000 0.000
As1 As 0.500 0.500 0.500
N1 N 0.000 0.500 0.000
N2 N 0.500 0.000 0.000
F1 F 0.000 0.000 0.500
```

***

Sequential theoretical density output: 4.97, 4.94 g cm⁻³
Sequential magnetization output: 0.856, 0.000 μB/cell